(1)
Here is a geometry-optimized LiNd2Zn12Cu3 structure from Alexandria via LeMat-Bulk. Energies are from PBE.

It has space group R-3m (No. 166, hexagonal axes), with a = 9.3043 Å, b = 9.3043 Å, c = 12.3957 Å, α = 90.00°, β = 90.00° and γ = 120.00°. The distinct sites, in fractional coordinates, are Li at (0.0000, 0.0000, 0.0000), Nd at (0.0000, 0.0000, 0.2468), Zn at (0.0214, 0.5107, 0.7060), Zn at (0.0635, 0.5318, 0.0981) and Cu at (0.0000, 0.5000, 0.5000).

The energy of formation comes out at -0.0140 eV per atom. As for the crystal system: trigonal. The total energy comes out at -2.18 eV per atom.

(2)
Here is a geometry-optimized Ba4P12Br structure from Alexandria via LeMat-Bulk. Energies are from PBE.

It has space group Im-3 (No. 204), with a = 10.244 Å, b = 10.244 Å, c = 10.244 Å, α = 90.00°, β = 90.00° and γ = 90.00°. The distinct sites, in fractional coordinates, are Ba at (0.250, 0.250, 0.250), P at (0.000, 0.394, 0.105) and Br at (0.000, 0.000, 0.000).

As for the crystal system: cubic. The total energy comes out at -4.94 eV per atom.

(3)
Here is a geometry-optimized KInSi2 structure from Alexandria via LeMat-Bulk. Energies are from PBE.

It has space group P4mm (No. 99), with a = 3.477 Å, b = 3.477 Å, c = 7.977 Å, α = 90.00°, β = 90.00° and γ = 90.00°. The distinct sites, in fractional coordinates, are K at (0.000, 0.000, 0.000), In at (0.500, 0.500, 0.657), Si at (0.000, 0.000, 0.415) and Si at (0.500, 0.500, 0.313).

As for the crystal system: tetragonal. The total energy comes out at -3.50 eV per atom.

(4)
Here is a geometry-optimized Ce2Si3Ni12Pd structure from Alexandria via LeMat-Bulk. Energies are from PBE.

It has space group R-3m (No. 166, hexagonal axes), with a = 8.3991 Å, b = 8.3991 Å, c = 11.9999 Å, α = 90.00°, β = 90.00° and γ = 120.00°. The distinct sites, in fractional coordinates, are Ce at (0.0000, 0.0000, 0.1458), Si at (0.0000, 0.5000, 0.0000), Ni at (0.0088, 0.5044, 0.8098), Ni at (0.0181, 0.5090, 0.3893) and Pd at (0.0000, 0.0000, 0.5000).

As for the crystal system: trigonal. The total energy comes out at -5.86 eV per atom.